Here is a geometry-optimized Ba2SmAgTe4 structure from Alexandria via LeMat-Bulk. Energies are from PBE-GGA.

Structure (CIF):
```
data_Ba2SmAgTe4
_symmetry_space_group_name_H-M 'P 1 2/m 1'
_symmetry_Int_Tables_number 10
_symmetry_space_group_name_Hall '-P 2y'
_cell_length_a 8.135
_cell_length_b 4.701
_cell_length_c 8.272
_cell_angle_alpha 90.00
_cell_angle_beta 110.51
_cell_angle_gamma 90.00
loop_
_atom_site_label
_atom_site_type_symbol
_atom_site_fract_x
_atom_site_fract_y
_atom_site_fract_z
_atom_site_occupancy
Ba1 Ba 0.000 0.000 0.000 1
Ba2 Ba 0.000 0.500 0.500 1
Sm1 Sm 0.500 0.000 0.500 1
Ag1 Ag 0.500 0.500 0.000 1
Te1 Te 0.277 0.500 0.267 1
Te2 Te 0.292 0.000 0.764 1
```

Output
- spin magnetization (μB/f.u.) = 0.0
- V (Å³/cell) = 296.3
- uncorrected formation energy (eV/atom) = -1.26
- calculated total energy (eV/atom) = -4.26

Here is a geometry-optimized BaSm2AgTe4 structure from Alexandria via LeMat-Bulk. Energies are from PBE-GGA.

Structure (CIF):
```
data_BaSm2AgTe4
_symmetry_space_group_name_H-M 'C m c m'
_symmetry_Int_Tables_number 63
_symmetry_space_group_name_Hall '-C 2c 2'
_cell_length_a 4.563
_cell_length_b 15.102
_cell_length_c 15.721
_cell_angle_alpha 90.00
_cell_angle_beta 90.00
_cell_angle_gamma 90.00
loop_
_atom_site_label
_atom_site_type_symbol
_atom_site_fract_x
_atom_site_fract_y
_atom_site_fract_z
_atom_site_occupancy
Ba1 Ba 0.000 0.130 0.250 1
Sm1 Sm 0.000 0.375 0.063 1
Ag1 Ag 0.000 0.149 0.750 1
Te1 Te 0.000 0.000 0.000 1
Te2 Te 0.000 0.269 0.612 1
Te3 Te 0.000 0.457 0.250 1
```

Output
- spin magnetization (μB/f.u.) = 0.0
- V (Å³/cell) = 1083.4
- uncorrected formation energy (eV/atom) = -1.26
- calculated total energy (eV/atom) = -4.61

Here is a geometry-optimized BaSm2Tl2Ag2 structure from Alexandria via LeMat-Bulk. Energies are from PBE-GGA.

Structure (CIF):
```
data_BaSm2Tl2Ag2
_symmetry_space_group_name_H-M 'R -3 m'
_symmetry_Int_Tables_number 166
_symmetry_space_group_name_Hall '-R 3 2"'
_cell_length_a 5.0580
_cell_length_b 5.0580
_cell_length_c 29.1814
_cell_angle_alpha 90.00
_cell_angle_beta 90.00
_cell_angle_gamma 120.00
loop_
_atom_site_label
_atom_site_type_symbol
_atom_site_fract_x
_atom_site_fract_y
_atom_site_fract_z
_atom_site_occupancy
Ba1 Ba 0.0000 0.0000 0.0000 1
Sm1 Sm 0.0000 0.0000 0.1290 1
Tl1 Tl 0.0000 0.0000 0.2487 1
Ag1 Ag 0.0000 0.0000 0.4214 1
```

Output
- spin magnetization (μB/f.u.) = 0.0
- V (Å³/cell) = 646.5
- calculated formation energy (eV per atom) = -0.236
- calculated total energy (eV/atom) = -3.35

Here is a geometry-optimized Ba8Ag2Sn structure from Alexandria via LeMat-Bulk. Energies are from PBE-GGA.

Structure (CIF):
```
data_Ba8Ag2Sn
_symmetry_space_group_name_H-M 'C 1 m 1'
_symmetry_Int_Tables_number 8
_symmetry_space_group_name_Hall 'C -2y'
_cell_length_a 10.371
_cell_length_b 15.352
_cell_length_c 7.292
_cell_angle_alpha 90.00
_cell_angle_beta 107.96
_cell_angle_gamma 90.00
loop_
_atom_site_label
_atom_site_type_symbol
_atom_site_fract_x
_atom_site_fract_y
_atom_site_fract_z
_atom_site_occupancy
Ba1 Ba 0.000 0.000 0.000 1
Ba2 Ba 0.065 0.366 0.815 1
Ba3 Ba 0.152 0.130 0.604 1
Ba4 Ba 0.210 0.500 0.380 1
Ba5 Ba 0.364 0.214 0.201 1
Ag1 Ag 0.355 0.313 0.694 1
Sn1 Sn 0.353 0.000 0.002 1
```

Output
- spin magnetization (μB/f.u.) = 0.0
- V (Å³/cell) = 1104.4
- calculated formation energy (eV per atom) = -0.168
- calculated total energy (eV/atom) = -2.45

Q: What is the V in the third record?
A: 646.5 Å³/cell

Repeat the second record exactly.
Here is a geometry-optimized BaSm2AgTe4 structure from Alexandria via LeMat-Bulk. Energies are from PBE-GGA.

Structure (CIF):
```
data_BaSm2AgTe4
_symmetry_space_group_name_H-M 'C m c m'
_symmetry_Int_Tables_number 63
_symmetry_space_group_name_Hall '-C 2c 2'
_cell_length_a 4.563
_cell_length_b 15.102
_cell_length_c 15.721
_cell_angle_alpha 90.00
_cell_angle_beta 90.00
_cell_angle_gamma 90.00
loop_
_atom_site_label
_atom_site_type_symbol
_atom_site_fract_x
_atom_site_fract_y
_atom_site_fract_z
_atom_site_occupancy
Ba1 Ba 0.000 0.130 0.250 1
Sm1 Sm 0.000 0.375 0.063 1
Ag1 Ag 0.000 0.149 0.750 1
Te1 Te 0.000 0.000 0.000 1
Te2 Te 0.000 0.269 0.612 1
Te3 Te 0.000 0.457 0.250 1
```

Output
- spin magnetization (μB/f.u.) = 0.0
- V (Å³/cell) = 1083.4
- uncorrected formation energy (eV/atom) = -1.26
- calculated total energy (eV/atom) = -4.61

What did the third record say?
Here is a geometry-optimized BaSm2Tl2Ag2 structure from Alexandria via LeMat-Bulk. Energies are from PBE-GGA.

Structure (CIF):
```
data_BaSm2Tl2Ag2
_symmetry_space_group_name_H-M 'R -3 m'
_symmetry_Int_Tables_number 166
_symmetry_space_group_name_Hall '-R 3 2"'
_cell_length_a 5.0580
_cell_length_b 5.0580
_cell_length_c 29.1814
_cell_angle_alpha 90.00
_cell_angle_beta 90.00
_cell_angle_gamma 120.00
loop_
_atom_site_label
_atom_site_type_symbol
_atom_site_fract_x
_atom_site_fract_y
_atom_site_fract_z
_atom_site_occupancy
Ba1 Ba 0.0000 0.0000 0.0000 1
Sm1 Sm 0.0000 0.0000 0.1290 1
Tl1 Tl 0.0000 0.0000 0.2487 1
Ag1 Ag 0.0000 0.0000 0.4214 1
```

Output
- spin magnetization (μB/f.u.) = 0.0
- V (Å³/cell) = 646.5
- calculated formation energy (eV per atom) = -0.236
- calculated total energy (eV/atom) = -3.35

Q: Look up the spin magnetization of the first one.
A: 0.0 μB/f.u.